Entry 1:
VASP calculation (PBE) on an optimized crystal structure of K2Hg3As.

It has space group Fmmm (No. 69), with a = 8.762 Å, b = 10.050 Å, c = 17.423 Å, α = 90.00°, β = 90.00° and γ = 90.00°. The asymmetric unit holds K at (0.236, 0.000, 0.000), K at (0.250, 0.250, 0.250), Hg at (0.000, 0.000, 0.173), Hg at (0.000, 0.238, 0.414) and As at (0.000, 0.000, 0.337).

The crystal system is orthorhombic. The final energy comes out at -1.583 eV per atom.

Entry 2:
VASP calculation (PBE) on an optimized crystal structure of NaSmHo.

It has space group P4/nmm (No. 129, origin choice 2), with a = 4.141 Å, b = 4.141 Å, c = 11.868 Å, α = 90.00°, β = 90.00° and γ = 90.00°. The asymmetric unit holds Na at (0.250, 0.750, 0.000), Sm at (0.250, 0.250, 0.262) and Ho at (0.250, 0.250, 0.572).

The crystal system is tetragonal. The final energy comes out at -3.267 eV per atom.

no.,DOS(E_F) (states/eV/cell),DFT formation energy (meV/atom)
1,6.5,-292
2,8.1,272